Record 1
Computed, not measured: a geometry-optimized LiMgAg2 structure at the PBEsol level of DFT.

extended XYZ file:
```
4
Lattice="-1.073 -1.958 2.373 3.249 -2.963 -0.976 2.745 2.045 2.928" Properties=species:S:1:pos:R:3 pbc="T T T"
Mg -0.536 -0.979 1.186
Ag 1.372 1.022 1.464
Ag 1.624 -1.482 -0.488
Li 2.461 -1.438 2.162
```

The formation enthalpy at 0 K comes out at -0.215 eV/atom. Its total moment is 0.0 μB per formula unit. The density is 6.2 g/cm³.

Record 2
Computed, not measured: a geometry-optimized Tl3NiI structure at the PBEsol level of DFT.

extended XYZ file:
```
5
Lattice="-4.051 -3.151 0.036 3.131 -4.018 0.625 -0.356 0.515 5.094" Properties=species:S:1:pos:R:3 pbc="T T T"
I -0.638 -3.327 2.877
Ni 0.000 0.000 0.000
Tl 1.565 -2.009 0.312
Tl -0.178 0.257 2.547
Tl -2.025 -1.575 0.018
```

The value obtained for the electronic total energy is -0.245 Ry per atom. Its total moment is 0.0 μB per formula unit. The density is 9.8 g/cm³.